Compound: ZrPbSe2
Source: Alexandria via LeMat-Bulk
Functional: GGA-PBEsol
Structure: optimized geometry

a = 3.6204 Å, b = 3.6204 Å, c = 9.5394 Å
α = 79.03°, β = 79.03°, γ = 59.94°
Last column: nearest neighbours and their distance in Å.
Element x y z (fractional)
Pb 0.5000 0.5000 0.5000  2 Se 2.99
Se 0.3930 0.3930 0.8214  3 Zr 2.67
Se 0.6070 0.6070 0.1786  3 Zr 2.67
Zr 0.0000 0.0000 0.0000  6 Se 2.67

For the theoretical density, the calculation gives 7.18 g/cm³. As for the raw formation energy: -3.91 eV per formula unit. The calculated volume comes out at 26.4 A^3/atom. The total energy comes out at -6.1754 eV/atom.